Material: HfCd2GeAs
Method: DFT, PBE
State: relaxed

Properties
DFT total energy (eV per atom): -3.680
Density of states at the Fermi level (states/eV per atom): 0.75

Cell: 5.067 5.080 5.067 Å, 90.00 90.00 90.00°
Fractional coordinates of all 5 atoms:
Cd 0.000 0.000 0.500
Cd 0.500 0.000 0.000
As 0.000 0.000 0.000
Ge 0.500 0.500 0.500
Hf 0.000 0.500 0.000